6
Lattice="3.347 0.000 0.000 0.000 11.863 0.000 -1.674 -5.932 5.060" Properties=species:S:1:pos:R:3 comment="PBE-GGA Tb3Pr2Mg, optimized geometry" volume_a3_per_cell=200.9 final_energy_ev_per_atom=-3.806 formation_enthalpy_0k_ev_per_fu=2.2 de_polymorph_mev_per_atom=325 pbc="T T T"
Tb 0.000 0.169 0.000
Tb 0.000 -0.085 3.395
Tb 1.674 5.847 1.665
Pr 1.674 2.886 3.324
Pr 0.000 8.818 1.737
Mg 1.674 3.041 0.000